Entry 1:
The following is a PBE-GGA calculation of a geometry-optimized Hf3TlP structure, from Alexandria.

The structure in POSCAR format:
```
Hf3TlP
1.0
-4.528 -0.512 -1.614
0.613 -4.791 -0.199
-1.578 -0.391 4.553
P Tl Hf
1 1 3
Cartesian
0.000 0.000 0.000
-2.747 -2.847 1.370
0.306 -2.396 -0.099
-0.789 -0.195 2.276
-2.264 -0.256 -0.807
```

energy = -38.5 eV for the cell shown
energy above the lowest structure with this stoichiometry = 0.0000 eV/atom
E_form = -166 meV/atom
magnetization = 0.00 μB/cell


Entry 2:
The following is a PBE-GGA calculation of a geometry-optimized Hf2TlP2 structure, from Alexandria.

The structure in POSCAR format:
```
Hf2TlP2
1.0
-1.859 -3.063 0.008
2.590 -1.567 1.916
-3.021 -0.242 7.235
P Tl Hf
2 1 2
Cartesian
-2.257 -2.810 4.103
-0.032 -2.062 5.057
0.000 0.000 0.000
-0.454 -1.813 2.482
-1.835 -3.059 6.678
```

energy = -35.4 eV for the cell shown
energy above the lowest structure with this stoichiometry = 0.0690 eV/atom
E_form = -466 meV/atom
magnetization = 0.00 μB/cell


Entry 3:
The following is a PBE-GGA calculation of a geometry-optimized Hf2TlP2 structure, from Alexandria.

The structure in POSCAR format:
```
Hf2TlP2
1.0
-3.481 -4.237 -5.140
4.182 -5.905 2.035
-2.345 -0.867 2.303
P Tl Hf
4 2 4
Cartesian
1.018 -4.826 1.728
0.181 -8.220 -0.403
-2.662 -6.183 -2.531
-1.825 -2.789 -0.400
0.000 0.000 0.000
0.350 -5.071 -1.553
2.339 -6.546 -0.083
-0.274 -7.432 -3.078
-1.639 -3.596 -3.023
0.975 -2.709 -0.028
```

energy = -71.5 eV for the cell shown
energy above the lowest structure with this stoichiometry = 0.0000 eV/atom
E_form = -535 meV/atom
magnetization = 0.00 μB/cell


Entry 4:
The following is a PBE-GGA calculation of a geometry-optimized HfTlP2 structure, from Alexandria.

The structure in POSCAR format:
```
HfTlP2
1.0
-2.660 -2.693 0.227
0.845 -3.582 -0.913
1.297 -3.392 6.631
P Tl Hf
2 1 1
Cartesian
-0.224 -2.352 1.146
-0.294 -7.315 4.799
-0.259 -4.833 2.973
0.000 0.000 0.000
```

energy = -25.0 eV for the cell shown
energy above the lowest structure with this stoichiometry = 0.0000 eV/atom
E_form = -456 meV/atom
magnetization = 0.00 μB/cell